Record 1
A plane-wave DFT calculation with PBE was carried out for a relaxed Er6GaBi2 crystal.

Cell lengths 8.283, 8.283, 4.261 Å; angles 90.00, 90.00, 120.00 degrees
Positions (direct):
Er1 0.000 0.242 0.000
Er2 0.000 0.603 0.500
Er3 0.242 0.000 0.000
Er4 0.397 0.397 0.500
Er5 0.603 0.000 0.500
Er6 0.758 0.758 0.000
Ga1 0.000 0.000 0.500
Bi1 0.333 0.667 0.000
Bi2 0.667 0.333 0.000

size of the total moment = 2.742 μB/f.u.
mass density = 9.783 g cm⁻³
space-group type = P-62m, No. 189
energy of formation from the pure elements = -446 kJ/mol of formula units
total DFT energy (no corrections) = -4.755 eV per atom


Record 2
A plane-wave DFT calculation with PBE was carried out for a relaxed ZnTc2Hg crystal.

Cell lengths 3.203, 4.325, 4.626 Å; angles 90.00, 90.00, 90.00 degrees
Positions (direct):
Zn1 0.000 0.000 0.000
Tc1 0.000 0.500 0.500
Tc2 0.500 0.000 0.500
Hg1 0.500 0.500 0.000

size of the total moment = 0.000 μB/f.u.
mass density = 11.971 g cm⁻³
space-group type = Pmmm, No. 47
energy of formation from the pure elements = 185 kJ/mol of formula units
total DFT energy (no corrections) = -5.097 eV per atom


Record 3
A plane-wave DFT calculation with PBE was carried out for a relaxed Ce2TcI2 crystal.

Cell lengths 12.181, 12.181, 6.933 Å; angles 103.69, 103.69, 19.45 degrees
Positions (direct):
Ce1 0.171 0.171 0.311
Ce2 0.309 0.309 0.187
Ce3 0.691 0.691 0.813
Ce4 0.829 0.829 0.689
Tc1 0.262 0.262 0.673
Tc2 0.738 0.738 0.327
I1 0.091 0.091 0.883
I2 0.420 0.420 0.599
I3 0.580 0.580 0.401
I4 0.909 0.909 0.117

formation energy without anion corrections = -3.5 eV per formula unit
size of the total moment = 0.808 μB/f.u.
mass density = 6.313 g cm⁻³
space-group type = C2/m, No. 12
total DFT energy (no corrections) = -5.758 eV per atom


Record 4
A plane-wave DFT calculation with PBE was carried out for a relaxed BaHg3Au crystal.

Cell lengths 5.427, 5.427, 5.427 Å; angles 90.00, 90.00, 90.00 degrees
Positions (direct):
Ba1 0.000 0.000 0.000
Hg1 0.000 0.500 0.500
Hg2 0.500 0.000 0.500
Hg3 0.500 0.500 0.000
Au1 0.500 0.500 0.500

size of the total moment = 0.000 μB/f.u.
mass density = 9.724 g cm⁻³
space-group type = Pm-3m, No. 221
energy of formation from the pure elements = -118 kJ/mol of formula units
total DFT energy (no corrections) = -1.465 eV per atom


Record 5
A plane-wave DFT calculation with PBE was carried out for a relaxed Ac6Os2PdBr3 crystal.

Cell lengths 7.559, 7.559, 8.652 Å; angles 98.32, 98.32, 120.02 degrees
Positions (direct):
Ac1 0.087 0.435 0.804
Ac2 0.217 0.217 0.196
Ac3 0.435 0.087 0.804
Ac4 0.565 0.913 0.196
Ac5 0.783 0.783 0.804
Ac6 0.913 0.565 0.196
Os1 0.166 0.834 0.000
Os2 0.834 0.166 0.000
Pd1 0.500 0.500 0.000
Br1 0.000 0.000 0.500
Br2 0.330 0.670 0.500
Br3 0.670 0.330 0.500

formation energy without anion corrections = -10.8 eV per formula unit
size of the total moment = 0.000 μB/f.u.
mass density = 8.465 g cm⁻³
space-group type = C2/m, No. 12
total DFT energy (no corrections) = -5.679 eV per atom


Record 6
A plane-wave DFT calculation with PBE was carried out for a relaxed CsYGeS4 crystal.

Cell lengths 6.522, 6.829, 9.512 Å; angles 90.00, 108.25, 90.00 degrees
Positions (direct):
Cs1 0.237 0.250 0.439
Cs2 0.763 0.750 0.561
Y1 0.278 0.250 0.953
Y2 0.722 0.750 0.047
Ge1 0.273 0.750 0.159
Ge2 0.727 0.250 0.841
S1 0.057 0.750 0.928
S2 0.074 0.750 0.308
S3 0.495 0.502 0.809
S4 0.495 0.998 0.809
S5 0.505 0.002 0.191
S6 0.505 0.498 0.191
S7 0.926 0.250 0.692
S8 0.943 0.250 0.072

formation energy without anion corrections = -8.9 eV per formula unit
size of the total moment = 0.000 μB/f.u.
mass density = 3.489 g cm⁻³
space-group type = P2_1/m, No. 11
total DFT energy (no corrections) = -5.331 eV per atom


Record 7
A plane-wave DFT calculation with PBE was carried out for a relaxed RbLi4Ir2 crystal.

Cell lengths 7.842, 7.842, 7.842 Å; angles 143.86, 143.86, 52.03 degrees
Positions (direct):
Rb1 0.000 0.000 0.000
Li1 0.000 0.500 0.500
Li2 0.226 0.226 0.000
Li3 0.500 0.000 0.500
Li4 0.774 0.774 0.000
Ir1 0.415 0.415 0.000
Ir2 0.585 0.585 0.000

size of the total moment = 1.752 μB/f.u.
mass density = 4.956 g cm⁻³
space-group type = I4/mmm, No. 139
energy of formation from the pure elements = 508 kJ/mol of formula units
total DFT energy (no corrections) = -3.012 eV per atom


Record 8
A plane-wave DFT calculation with PBE was carried out for a relaxed Cs2CuSi2S6 crystal.

Cell lengths 8.606, 8.606, 8.606 Å; angles 47.49, 47.49, 47.49 degrees
Positions (direct):
Cs1 0.216 0.216 0.216
Cs2 0.784 0.784 0.784
Cu1 0.000 0.000 0.000
Si1 0.399 0.399 0.399
Si2 0.601 0.601 0.601
S1 0.234 0.234 0.747
S2 0.234 0.747 0.234
S3 0.253 0.766 0.766
S4 0.747 0.234 0.234
S5 0.766 0.253 0.766
S6 0.766 0.766 0.253

formation energy without anion corrections = -6.5 eV per formula unit
size of the total moment = 0.005 μB/f.u.
mass density = 3.028 g cm⁻³
space-group type = R-3m, No. 166
total DFT energy (no corrections) = -4.353 eV per atom